Entry 1:
Ac4Se6O19: optimized geometry, PBE.

```
29
Lattice="-4.654 4.654 4.654 4.654 -4.654 4.654 4.654 4.654 -4.654" Properties=species:S:1:pos:R:3 pbc="T T T"
Ac 1.506 1.506 -1.506
Ac 1.506 -1.506 1.506
Ac -1.506 1.506 1.506
Ac 3.149 3.149 3.149
Se 4.654 1.496 0.000
Se 4.654 0.000 3.158
Se 3.158 4.654 0.000
Se 1.496 0.000 4.654
Se 0.000 4.654 1.496
Se 0.000 3.158 4.654
O 0.000 0.000 0.000
O 3.274 0.000 0.000
O 6.035 0.000 0.000
O 4.308 -1.627 1.981
O 6.281 2.674 -0.347
O 1.981 4.308 -1.627
O 3.028 2.674 0.347
O 0.000 3.274 0.000
O 0.000 0.000 3.274
O 2.674 0.347 3.028
O 5.001 1.627 1.981
O 0.347 3.028 2.674
O 2.674 -0.347 6.281
O 0.000 6.035 0.000
O 0.000 0.000 6.035
O -1.627 1.981 4.308
O 1.981 5.001 1.627
O 1.627 1.981 5.001
O -0.347 6.281 2.674
```

***

Entry 2:
SrIn2SbSe: optimized geometry, PBE.

```
5
Lattice="5.618 0.000 0.000 0.000 5.618 0.000 0.000 0.000 6.423" Properties=species:S:1:pos:R:3 pbc="T T T"
Sr 0.000 0.000 0.000
In 0.000 2.809 3.212
In 2.809 0.000 3.212
Sb 0.000 0.000 3.212
Se 2.809 2.809 0.000
```

***

Number 1: Fermi-level density of states 11.04 states/eV per cell, raw formation energy -1.511 eV/atom, E -6.05 eV/atom. Number 2: Fermi-level density of states 1.70 states/eV per cell, raw formation energy -0.092 eV/atom, E -3.05 eV/atom.